# 1
First-principles (PBE) data for AlP2HCl after structural relaxation, as listed in the Alexandria database.

Cell lengths 4.670, 5.425, 4.670 Å; angles 90.00, 90.00, 90.00 degrees
Last column: magnetic moment on the atom in μB.
Fractional coordinates of all 5 atoms:
Cl (0.000, 0.000, 0.000)  0.00
H (0.500, 0.500, 0.500)  0.32
P (0.500, 0.000, 0.000)  0.07
P (0.000, 0.000, 0.500)  0.03
Al (0.000, 0.500, 0.000)  0.01

Summary:
As for the space group: P4/mmm, No. 123. The total energy comes out at -11.92 eV per cell. The magnetization is 0.990 μB per formula unit. The value obtained for the density of states at the Fermi level is 3.436 states/eV/cell.

# 2
First-principles (PBE) data for AlP2HCl after structural relaxation, as listed in the Alexandria database.

Cell lengths 3.647, 3.647, 5.853 Å; angles 90.00, 90.00, 90.00 degrees
Fractional coordinates of all 5 atoms:
Cl (0.000, 0.000, 0.500)
P (0.500, 0.000, 0.000)
P (0.000, 0.500, 0.000)
Al (0.500, 0.500, 0.500)
H (0.000, 0.000, 0.000)

Summary:
As for the space group: P4/mmm, No. 123. The total energy comes out at -17.37 eV per cell. The magnetization is 0.000 μB per formula unit. The value obtained for the density of states at the Fermi level is 2.076 states/eV/cell.

# 3
First-principles (PBE) data for AlP2HCl after structural relaxation, as listed in the Alexandria database.

Cell lengths 4.721, 4.721, 4.946 Å; angles 90.00, 90.00, 90.00 degrees
Last column: magnetic moment on the atom in μB.
Fractional coordinates of all 5 atoms:
P (0.000, 0.500, 0.000)  0.38
P (0.500, 0.000, 0.000)  0.38
H (0.500, 0.500, 0.500)  0.36
Al (0.000, 0.000, 0.000)  0.00
Cl (0.000, 0.000, 0.500)  0.17

Summary:
As for the space group: P4/mmm, No. 123. The total energy comes out at -15.64 eV per cell. The magnetization is 2.815 μB per formula unit. The value obtained for the density of states at the Fermi level is 3.065 states/eV/cell.

# 4
First-principles (PBE) data for AlReHCl2 after structural relaxation, as listed in the Alexandria database.

Cell lengths 4.614, 5.529, 4.614 Å; angles 90.00, 90.00, 90.00 degrees
Last column: magnetic moment on the atom in μB.
Fractional coordinates of all 5 atoms:
Re (0.000, 0.500, 0.000)  3.73
Al (0.000, 0.000, 0.000)  -0.03
H (0.500, 0.500, 0.500)  -0.07
Cl (0.500, 0.000, 0.000)  0.03
Cl (0.000, 0.000, 0.500)  0.04

Summary:
As for the space group: P4/mmm, No. 123. The total energy comes out at -17.90 eV per cell. The magnetization is 4.548 μB per formula unit. The value obtained for the density of states at the Fermi level is 1.916 states/eV/cell.

# 5
First-principles (PBE) data for AlHSCl2 after structural relaxation, as listed in the Alexandria database.

Cell lengths 4.773, 4.773, 4.604 Å; angles 90.00, 90.00, 90.00 degrees
Last column: magnetic moment on the atom in μB.
Fractional coordinates of all 5 atoms:
Al (0.000, 0.000, 0.000)  0.00
Cl (0.000, 0.500, 0.000)  0.10
Cl (0.500, 0.000, 0.000)  0.10
H (0.500, 0.500, 0.500)  0.38
S (0.000, 0.000, 0.500)  0.47

Summary:
As for the space group: P4/mmm, No. 123. The total energy comes out at -15.20 eV per cell. The magnetization is 1.918 μB per formula unit. The value obtained for the density of states at the Fermi level is 3.955 states/eV/cell.

# 6
First-principles (PBE) data for AlHSCl2 after structural relaxation, as listed in the Alexandria database.

Cell lengths 5.201, 5.201, 3.261 Å; angles 90.00, 90.00, 90.00 degrees
Last column: magnetic moment on the atom in μB.
Fractional coordinates of all 5 atoms:
S (0.000, 0.000, 0.500)  0.45
H (0.000, 0.000, 0.000)  -0.01
Cl (0.500, 0.000, 0.000)  0.11
Cl (0.000, 0.500, 0.000)  0.11
Al (0.500, 0.500, 0.500)  0.00

Summary:
As for the space group: P4/mmm, No. 123. The total energy comes out at -13.43 eV per cell. The magnetization is 0.920 μB per formula unit. The value obtained for the density of states at the Fermi level is 4.480 states/eV/cell.

# 7
First-principles (PBE) data for ScAl2HCl after structural relaxation, as listed in the Alexandria database.

Cell lengths 5.054, 4.824, 5.054 Å; angles 90.00, 90.00, 90.00 degrees
Fractional coordinates of all 5 atoms:
Al (0.000, 0.000, 0.500)
Al (0.500, 0.000, 0.000)
Cl (0.000, 0.000, 0.000)
Sc (0.000, 0.500, 0.000)
H (0.500, 0.500, 0.500)

Summary:
As for the space group: P4/mmm, No. 123. The total energy comes out at -14.76 eV per cell. The magnetization is 0.000 μB per formula unit. The value obtained for the density of states at the Fermi level is 3.680 states/eV/cell.

# 8
First-principles (PBE) data for SrAlH2Cl after structural relaxation, as listed in the Alexandria database.

Cell lengths 4.623, 5.763, 4.623 Å; angles 90.00, 90.00, 90.00 degrees
Fractional coordinates of all 5 atoms:
H (0.000, 0.000, 0.500)
H (0.500, 0.000, 0.000)
Cl (0.000, 0.500, 0.000)
Sr (0.000, 0.000, 0.000)
Al (0.500, 0.500, 0.500)

Summary:
As for the space group: P4/mmm, No. 123. The total energy comes out at -15.25 eV per cell. The magnetization is 0.000 μB per formula unit. The value obtained for the density of states at the Fermi level is 0.000 states/eV/cell.